(one)
The following is a DFT calculation (PBE) of an optimized crystal structure of TlCdN2F. Values from VASP.

The structure in Quantum ESPRESSO input format:
```
&SYSTEM
  ibrav = 0, nat = 5, ntyp = 4
/
ATOMIC_SPECIES
Cd 112.41 Cd.upf
Tl 204.38 Tl.upf
F 19.00 F.upf
N 14.01 N.upf
CELL_PARAMETERS angstrom
4.339 0.000 0.000
0.000 4.339 0.000
0.000 0.000 4.505
ATOMIC_POSITIONS angstrom
Cd 2.169 2.169 2.253
Tl 0.000 0.000 0.000
F 0.000 0.000 2.253
N 0.000 2.169 0.000
N 2.169 0.000 0.000
```

=====

(two)
The following is a DFT calculation (PBE) of an optimized crystal structure of TlCdN2F. Values from VASP.

The structure in Quantum ESPRESSO input format:
```
&SYSTEM
  ibrav = 0, nat = 5, ntyp = 4
/
ATOMIC_SPECIES
Cd 112.41 Cd.upf
N 14.01 N.upf
Tl 204.38 Tl.upf
F 19.00 F.upf
CELL_PARAMETERS angstrom
-2.513 2.618 -2.494
-2.252 -3.509 -1.414
-3.018 0.500 3.565
ATOMIC_POSITIONS angstrom
Cd 0.000 0.000 0.000
N -1.126 -1.755 -0.707
N -1.256 1.309 -1.247
Tl -3.891 -0.196 -0.171
F -1.509 0.250 1.783
```

=====

Most stable of them? (two).